Compound: CrInO
Source: Alexandria via LeMat-Bulk
Functional: PBE+U
Structure: relaxed

Lattice parameters (Å, degrees): 12.628 2.955 2.948 90.00 91.46 90.00
Space group Cm (No. 8)
Symmetry-distinct sites (fractional):
1 Cr 0.000 0.000 0.000 [2 per cell]
2 In 0.241 0.500 0.523 [2 per cell]
3 O 0.003 0.500 0.500 [2 per cell]

## Properties
**VASP energy**: -35.6 eV/cell
**Mass density**: 5.5 g/cm3
**Fermi-level density of states**: 0.2618 states/eV/atom